No. 1
! BeNbNiB, optimized geometry, DFT PBE; values from VASP
! - Volume: 10.891 Å³ per atom
! - Energy relative to the lowest polymorph listed for this composition: 1.18 eV per formula unit
! - Crystal system: cubic
&SYSTEM
  ibrav = 0, nat = 4, ntyp = 4
/
ATOMIC_SPECIES
B 10.81 B.upf
Be 9.01 Be.upf
Nb 92.91 Nb.upf
Ni 58.69 Ni.upf
CELL_PARAMETERS angstrom
3.365 -1.002 1.809
0.318 0.360 3.920
0.135 -3.226 2.275
ATOMIC_POSITIONS crystal
B 0.000 0.000 0.000
Be 0.250 0.250 0.250
Nb 0.500 0.500 0.500
Ni 0.750 0.750 0.750

No. 2
! BeNbNiB, optimized geometry, DFT PBE; values from VASP
! - Volume: 10.524 Å³ per atom
! - Energy relative to the lowest polymorph listed for this composition: 0.00 eV per formula unit
! - Crystal system: cubic
&SYSTEM
  ibrav = 0, nat = 4, ntyp = 4
/
ATOMIC_SPECIES
B 10.81 B.upf
Be 9.01 Be.upf
Nb 92.91 Nb.upf
Ni 58.69 Ni.upf
CELL_PARAMETERS angstrom
0.000 2.761 2.761
2.761 0.000 2.761
2.761 2.761 0.000
ATOMIC_POSITIONS crystal
B 0.000 0.000 0.000
Be 0.500 0.500 0.500
Nb 0.250 0.250 0.250
Ni 0.750 0.750 0.750

No. 3
! BeNbBOs, optimized geometry, DFT PBE; values from VASP
! - Volume: 12.348 Å³ per atom
! - Energy relative to the lowest polymorph listed for this composition: 1.24 eV per formula unit
! - Crystal system: cubic
&SYSTEM
  ibrav = 0, nat = 4, ntyp = 4
/
ATOMIC_SPECIES
B 10.81 B.upf
Be 9.01 Be.upf
Nb 92.91 Nb.upf
Os 190.23 Os.upf
CELL_PARAMETERS angstrom
0.000 2.912 2.912
2.912 0.000 2.912
2.912 2.912 0.000
ATOMIC_POSITIONS crystal
B 0.000 0.000 0.000
Be 0.750 0.750 0.750
Nb 0.500 0.500 0.500
Os 0.250 0.250 0.250